First-principles (PBE-GGA) data for UCl4O after structural relaxation, as listed in Alexandria via LeMat-Bulk.

## Properties
Formation energy from raw total energies   -1866 meV per atom
Total magnetic moment   0.00 μB/f.u.

Cell: 7.2146 7.2146 7.2146 Å, 94.67 94.67 146.82°
With the nearest neighbours (Å) after each atom.
Positions (direct):
1 U 0.0000 0.0000 0.0000  2 O 2.06
2 Cl 0.0590 0.2468 0.3058  1 U 2.48
3 Cl 0.2468 0.9410 0.1878  1 U 2.48
4 Cl 0.7532 0.0590 0.8122  1 U 2.48
5 Cl 0.9410 0.7532 0.6942  1 U 2.48
6 O 0.5000 0.5000 0.0000  2 U 2.06